# Tb8Tl2Rh3, relaxed, DFT PBE
# Volume   385.8 Å³/f.u.
# Energy above the lowest structure with this stoichiometry   45.3 meV per atom
data_Tb8Tl2Rh3
_chemical_formula_sum 'Tb8 Tl2 Rh3'
_cell_length_a 6.682
_cell_length_b 7.431
_cell_length_c 8.768
_cell_angle_alpha 115.07
_cell_angle_beta 100.80
_cell_angle_gamma 90.00
_symmetry_space_group_name_H-M 'P 1'
_symmetry_Int_Tables_number 1
_symmetry_space_group_name_Hall 'P 1'
loop_
_atom_site_label
_atom_site_type_symbol
_atom_site_fract_x
_atom_site_fract_y
_atom_site_fract_z
_atom_site_occupancy
Tb1 Tb 0.875 0.586 0.172 1
Tb2 Tb 0.125 0.414 0.828 1
Tb3 Tb 0.876 0.133 0.266 1
Tb4 Tb 0.124 0.867 0.734 1
Tb5 Tb 0.624 0.648 0.794 1
Tb6 Tb 0.624 0.146 0.794 1
Tb7 Tb 0.376 0.854 0.206 1
Tb8 Tb 0.376 0.352 0.206 1
Tl1 Tl 0.332 0.258 0.515 1
Tl2 Tl 0.668 0.742 0.485 1
Rh1 Rh 0.500 0.000 0.000 1
Rh2 Rh 0.000 0.206 0.000 1
Rh3 Rh 0.000 0.794 0.000 1


# TbTlRh, relaxed, DFT PBE
# Volume   66.8 Å³/f.u.
data_TbTlRh
_chemical_formula_sum 'Tb1 Tl1 Rh1'
_cell_length_a 3.411
_cell_length_b 4.754
_cell_length_c 4.754
_cell_angle_alpha 120.00
_cell_angle_beta 90.00
_cell_angle_gamma 90.00
_symmetry_space_group_name_H-M 'P 1'
_symmetry_Int_Tables_number 1
_symmetry_space_group_name_Hall 'P 1'
loop_
_atom_site_label
_atom_site_type_symbol
_atom_site_fract_x
_atom_site_fract_y
_atom_site_fract_z
_atom_site_occupancy
Rh1 Rh 0.168 0.333 0.667 1
Tl1 Tl 0.166 0.000 0.000 1
Tb1 Tb 0.666 0.667 0.333 1


# Tb7Tl2Rh2, relaxed, DFT PBE
# Volume   307.3 Å³/f.u.
# Energy above the lowest structure with this stoichiometry   0.0 meV per atom
data_Tb7Tl2Rh2
_chemical_formula_sum 'Tb7 Tl2 Rh2'
_cell_length_a 3.925
_cell_length_b 9.644
_cell_length_c 9.644
_cell_angle_alpha 59.98
_cell_angle_beta 78.26
_cell_angle_gamma 78.26
_symmetry_space_group_name_H-M 'P 1'
_symmetry_Int_Tables_number 1
_symmetry_space_group_name_Hall 'P 1'
loop_
_atom_site_label
_atom_site_type_symbol
_atom_site_fract_x
_atom_site_fract_y
_atom_site_fract_z
_atom_site_occupancy
Tb1 Tb 0.831 0.050 0.288 1
Tb2 Tb 0.885 0.395 0.835 1
Tb3 Tb 0.500 0.999 0.001 1
Tb4 Tb 0.599 0.507 0.295 1
Tb5 Tb 0.401 0.705 0.493 1
Tb6 Tb 0.169 0.712 0.950 1
Tb7 Tb 0.115 0.165 0.605 1
Tl1 Tl 0.742 0.854 0.663 1
Tl2 Tl 0.258 0.337 0.146 1
Rh1 Rh 0.000 0.782 0.218 1
Rh2 Rh 0.500 0.349 0.651 1


# TbTl2Rh, relaxed, DFT PBE
# Volume   103.1 Å³/f.u.
data_TbTl2Rh
_chemical_formula_sum 'Tb1 Tl2 Rh1'
_cell_length_a 3.372
_cell_length_b 3.372
_cell_length_c 10.655
_cell_angle_alpha 80.90
_cell_angle_beta 80.90
_cell_angle_gamma 60.00
_symmetry_space_group_name_H-M 'P 1'
_symmetry_Int_Tables_number 1
_symmetry_space_group_name_Hall 'P 1'
loop_
_atom_site_label
_atom_site_type_symbol
_atom_site_fract_x
_atom_site_fract_y
_atom_site_fract_z
_atom_site_occupancy
Rh1 Rh 0.500 0.500 0.500 1
Tl1 Tl 0.101 0.101 0.696 1
Tl2 Tl 0.899 0.899 0.304 1
Tb1 Tb 0.000 0.000 0.000 1


The evaluated energy for the records listed, in turn: -0.3897, -0.3800, -0.3767, -0.2907 Ry/atom.
The evaluated ΔH_f (0 K) for the records listed, in turn: -393, -387, -412, 223 meV/atom.